one | {"formula": "LiMnH2", "functional": "GGA-PBE", "state": "optimized geometry", "cell": [[4.6792, 0.0000, 0.0000], [0.0000, 4.6792, 0.0000], [2.3396, 2.3396, 2.9660]], "species": ["Li", "Li", "Mn", "Mn", "H", "H", "H", "H"], "frac_coords": [[0.5000, 0.5000, 0.0000], [0.2500, 0.7500, 0.5000], [0.0000, 0.0000, 0.0000], [0.7500, 0.2500, 0.5000], [0.0930, 0.6250, 0.2500], [0.6570, 0.1250, 0.2500], [0.8750, 0.9070, 0.7500], [0.3750, 0.3430, 0.7500]], "spacegroup": "I-42d, No. 122"}

=====

two | {"formula": "LiMnH2", "functional": "GGA-PBE", "state": "optimized geometry", "cell": [[2.6471, 0.0000, 0.0000], [1.3236, 2.2925, 0.0000], [1.3236, 0.7642, 4.5917]], "species": ["Mn", "H", "H", "Li"], "frac_coords": [[0.0000, 0.0000, 0.0000], [0.2649, 0.2649, 0.2053], [0.7351, 0.7351, 0.7947], [0.5000, 0.5000, 0.5000]], "spacegroup": "R-3m, No. 166"}

=====

Energy ordering: two at the bottom, the next structure 12.9 kJ/mol of atoms above.

=====

one | {"formula": "LiMnH2", "functional": "GGA-PBE", "state": "optimized geometry", "cell": [[0.0000, 2.4210, 2.4210], [2.4210, 0.0000, 2.4210], [2.4210, 2.4210, 0.0000]], "species": ["H", "H", "Mn", "Li"], "frac_coords": [[0.2500, 0.2500, 0.2500], [0.7500, 0.7500, 0.7500], [0.5000, 0.5000, 0.5000], [0.0000, 0.0000, 0.0000]], "spacegroup": "Fm-3m, No. 225"}

=====

two | {"formula": "LiMnH2", "functional": "GGA-PBE", "state": "optimized geometry", "cell": [[2.6806, 0.0428, -0.3554], [0.0059, 2.6886, 0.3684], [-2.1725, -0.5564, 4.0949]], "species": ["Li", "H", "H", "Mn"], "frac_coords": [[0.2839, 0.5686, 0.8532], [0.7837, 0.5688, 0.3532], [0.7838, 0.0688, 0.8532], [0.2838, 0.0685, 0.3532]], "spacegroup": "P4/mmm, No. 123"}

=====

Energy ordering: two at the bottom, the next structure 38.1 kJ/mol of atoms above.

=====

one | {"formula": "LiMnH4", "functional": "GGA-PBE", "state": "optimized geometry", "cell": [[-3.9321, 1.6257, 1.4197], [-0.1699, -4.9468, 0.5009], [3.5534, 1.9919, 2.8214]], "species": ["H", "H", "H", "H", "H", "H", "H", "H", "Mn", "Mn", "Li", "Li"], "frac_coords": [[0.8132, 0.7538, 0.6965], [0.6412, 0.3175, 0.1292], [0.3588, 0.6825, 0.8708], [0.1868, 0.2462, 0.3035], [0.6168, 0.0574, 0.3035], [0.0121, 0.1883, 0.8708], [0.3832, 0.9426, 0.6965], [0.9879, 0.8117, 0.1292], [0.2626, 0.0126, 0.0252], [0.7374, 0.9874, 0.9748], [0.3941, 0.6441, 0.2883], [0.6059, 0.3559, 0.7117]], "spacegroup": "C2/c, No. 15"}

=====

two | {"formula": "LiMnH4", "functional": "GGA-PBE", "state": "optimized geometry", "cell": [[-0.2257, 4.2527, 0.4763], [-1.2470, -0.5218, 4.0666], [4.4865, -1.7965, -1.1129]], "species": ["Li", "Li", "Mn", "Mn", "H", "H", "H", "H", "H", "H", "H", "H"], "frac_coords": [[0.8749, 0.1250, 0.2499], [0.1251, 0.8750, 0.7501], [0.6250, 0.3750, 0.7500], [0.3750, 0.6250, 0.2500], [0.0000, 0.7154, 0.9999], [0.2844, 0.0000, 0.4999], [0.5001, 0.7155, 0.0001], [0.2846, 0.5001, 0.5001], [0.4999, 0.2845, 0.9999], [0.7154, 0.4999, 0.4999], [0.7156, 0.0000, 0.5001], [0.0000, 0.2846, 0.0001]], "spacegroup": "I4_1/amd, No. 141"}

=====

Energy ordering: two at the bottom, the next structure 7.1 kJ/mol of atoms above.